(1)
A plane-wave DFT calculation with GGA-PBE was carried out for AcH8Ru2 after structural relaxation.

Computed properties:
crystal system	monoclinic
Fermi-level density of states	3.37	states/eV/cell

a = 4.7606 Å, b = 4.8886 Å, c = 4.8886 Å
α = 118.19°, β = 88.43°, γ = 88.43°
Last column: nearest neighbours and their distance in Å.
Element x y z (fractional)
Ac: 0.0893 0.0806 0.0806  12 H 2.52-2.77
H: 0.3563 0.0398 0.6104  1 Ru 1.71, 1 H 1.90
H: 0.3563 0.6104 0.0398  1 Ru 1.71, 1 H 1.90
H: 0.7969 0.6065 0.6065  2 Ru 1.83
H: 0.8726 0.1497 0.6400  1 Ru 1.65
H: 0.8726 0.6400 0.1497  1 Ru 1.65
H: 0.3013 0.5552 0.5552  2 Ru 1.88
H: 0.6055 0.2901 0.0168  1 Ru 1.69
H: 0.6055 0.0168 0.2901  1 Ru 1.69
Ru: 0.5721 0.6485 0.3285  4 H 1.65-1.83
Ru: 0.5721 0.3285 0.6485  4 H 1.65-1.83

(2)
A plane-wave DFT calculation with GGA-PBE was carried out for AcH6Ru after structural relaxation.

Computed properties:
crystal system	monoclinic
Fermi-level density of states	0.54	states/eV/cell

a = 4.8828 Å, b = 4.8828 Å, c = 4.1483 Å
α = 64.74°, β = 64.74°, γ = 65.59°
Last column: nearest neighbours and their distance in Å.
Element x y z (fractional)
Ac: 0.5000 0.5000 0.5000  16 H 2.69-2.73
H: 0.0808 0.5975 0.1621  1 Ru 1.71
H: 0.5975 0.0808 0.1621  1 Ru 1.71
H: 0.4025 0.9192 0.8379  1 Ru 1.71
H: 0.9192 0.4025 0.8379  1 Ru 1.71
H: 0.0509 0.0509 0.3660  1 H 1.00
H: 0.9491 0.9491 0.6340  1 H 1.00
Ru: 0.0000 0.0000 0.0000  6 H 1.71-1.77

(3)
A plane-wave DFT calculation with GGA-PBE was carried out for AcH8Ru2 after structural relaxation.

Computed properties:
crystal system	monoclinic
Fermi-level density of states	2.24	states/eV/cell

a = 3.8077 Å, b = 5.2055 Å, c = 5.2055 Å
α = 117.92°, β = 90.09°, γ = 90.09°
Last column: nearest neighbours and their distance in Å.
Element x y z (fractional)
Ac: 0.5000 0.0000 0.0000  10 H 2.52-2.77
H: 0.9983 0.9747 0.6704  2 Ru 1.74-1.84, 2 H 1.91
H: 0.9983 0.6704 0.9747  2 Ru 1.74-1.84, 2 H 1.91
H: 0.2345 0.5076 0.5076  2 Ru 1.77, 3 H 1.79-1.97
H: 0.5000 0.6898 0.3102  2 Ru 1.91, 2 H 1.97
H: 0.5000 0.3102 0.6898  2 Ru 1.91, 2 H 1.97
H: 0.7655 0.4924 0.4924  2 Ru 1.77, 3 H 1.79-1.97
H: 0.0017 0.3296 0.0253  2 Ru 1.74-1.84, 2 H 1.91
H: 0.0017 0.0253 0.3296  2 Ru 1.74-1.84, 2 H 1.91
Ru: 0.0000 0.3284 0.6716  8 H 1.74-1.91
Ru: 0.0000 0.6716 0.3284  8 H 1.74-1.91

(4)
A plane-wave DFT calculation with GGA-PBE was carried out for Ac3HRu after structural relaxation.

Computed properties:
crystal system	monoclinic
Fermi-level density of states	7.65	states/eV/cell

a = 5.8174 Å, b = 7.3466 Å, c = 8.2013 Å
α = 72.15°, β = 90.00°, γ = 113.32°
Last column: nearest neighbours and their distance in Å.
Element x y z (fractional)
Ac: 0.9959 0.9919 0.7575  2 Ru 2.86-3.04, 2 H 2.92
Ac: 0.0041 0.0081 0.2425  2 Ru 2.86-3.04, 2 H 2.92
Ac: 0.6703 0.3406 0.9302  1 H 2.77, 3 Ru 2.93-3.03
Ac: 0.3297 0.6594 0.0698  1 H 2.77, 3 Ru 2.93-3.03
Ac: 0.6572 0.3144 0.4328  2 H 2.69-2.85, 1 Ru 2.85
Ac: 0.3428 0.6856 0.5672  2 H 2.69-2.85, 1 Ru 2.85
H: 0.4795 0.9590 0.7421  5 Ac 2.69-2.92
H: 0.5205 0.0410 0.2579  5 Ac 2.69-2.92
Ru: 0.1697 0.3393 0.8835  6 Ac 2.85-3.04
Ru: 0.8303 0.6607 0.1165  6 Ac 2.85-3.04

(5)
A plane-wave DFT calculation with GGA-PBE was carried out for Ac8HRu2 after structural relaxation.

Computed properties:
crystal system	monoclinic
Fermi-level density of states	10.16	states/eV/cell

a = 6.2899 Å, b = 8.1128 Å, c = 8.1128 Å
α = 73.10°, β = 88.17°, γ = 88.17°
Last column: nearest neighbours and their distance in Å.
Element x y z (fractional)
Ac: 0.7580 0.8907 0.3130  1 Ru 2.82, 1 H 2.84
Ac: 0.2420 0.6870 0.1093  1 Ru 2.82, 1 H 2.84
Ac: 0.7478 0.8188 0.8188  1 H 2.90, 1 Ru 2.98
Ac: 0.2522 0.1812 0.1812  1 H 2.90, 1 Ru 2.98
Ac: 0.7580 0.3130 0.8907  1 Ru 2.82, 1 H 2.84
Ac: 0.2420 0.1093 0.6870  1 Ru 2.82, 1 H 2.84
Ac: 0.2876 0.6226 0.6226  2 Ru 2.90-2.99
Ac: 0.7124 0.3774 0.3774  2 Ru 2.90-2.99
H: 0.0000 0.0000 0.0000  6 Ac 2.84-2.90
Ru: 0.8195 0.5917 0.5917  5 Ac 2.82-2.99
Ru: 0.1805 0.4083 0.4083  5 Ac 2.82-2.99

(6)
A plane-wave DFT calculation with GGA-PBE was carried out for Ac4H2Ru after structural relaxation.

Computed properties:
crystal system	tetragonal
Fermi-level density of states	6.67	states/eV/cell

a = 5.6218 Å, b = 5.6218 Å, c = 7.6976 Å
α = 111.42°, β = 111.42°, γ = 90.00°
Last column: nearest neighbours and their distance in Å.
Element x y z (fractional)
Ru: 0.0000 0.0000 0.0000  6 Ac 2.81-3.10
Ac: 0.7645 0.7645 0.5291  1 H 2.47
Ac: 0.2355 0.2355 0.4709  1 H 2.47
Ac: 0.0000 0.5000 0.0000  2 Ru 2.81, 4 H 2.99
Ac: 0.5000 0.0000 0.0000  2 Ru 2.81, 4 H 2.99
H: 0.5771 0.5771 0.1541  1 H 2.03
H: 0.4229 0.4229 0.8459  1 H 2.03

(7)
A plane-wave DFT calculation with GGA-PBE was carried out for Ac2Sn2H4Ru after structural relaxation.

Computed properties:
crystal system	tetragonal
Fermi-level density of states	6.23	states/eV/cell

a = 6.1036 Å, b = 6.1036 Å, c = 6.1036 Å
α = 97.58°, β = 115.72°, γ = 115.72°
Last column: nearest neighbours and their distance in Å.
Element x y z (fractional)
Ac: 0.5000 0.7500 0.2500  8 H 3.10, 4 Sn 3.31
Ac: 0.5000 0.2500 0.7500  8 H 3.10, 4 Sn 3.31
Sn: 0.0000 0.6693 0.6693  1 Ru 2.66, 1 Sn 2.72
Sn: 0.0000 0.3307 0.3307  1 Ru 2.66, 1 Sn 2.72
H: 0.0000 0.8105 0.1895  1 Ru 1.74
H: 0.6210 0.8105 0.8105  1 Ru 1.74
H: 0.0000 0.1895 0.8105  1 Ru 1.74
H: 0.3790 0.1895 0.1895  1 Ru 1.74
Ru: 0.0000 0.0000 0.0000  4 H 1.74

(8)
A plane-wave DFT calculation with GGA-PBE was carried out for AcSnH6Ru2 after structural relaxation.

Computed properties:
crystal system	trigonal
Fermi-level density of states	3.71	states/eV/cell

a = 4.6700 Å, b = 4.6700 Å, c = 6.4907 Å
α = 68.92°, β = 68.92°, γ = 60.00°
Last column: nearest neighbours and their distance in Å.
Element x y z (fractional)
Ac: 0.0000 0.0000 0.0000  12 H 2.57
Sn: 0.5000 0.5000 0.5000  6 H 2.38
H: 0.0304 0.5758 0.8180  1 Ru 1.66
H: 0.5758 0.0304 0.8180  1 Ru 1.66
H: 0.4242 0.4242 0.1820  1 Ru 1.66
H: 0.9696 0.4242 0.1820  1 Ru 1.66
H: 0.4242 0.9696 0.1820  1 Ru 1.66
H: 0.5758 0.5758 0.8180  1 Ru 1.66
Ru: 0.7902 0.7902 0.6295  3 H 1.66
Ru: 0.2098 0.2098 0.3705  3 H 1.66

(9)
A plane-wave DFT calculation with GGA-PBE was carried out for AcThH6Ru2 after structural relaxation.

Computed properties:
crystal system	trigonal
Fermi-level density of states	4.58	states/eV/cell

a = 4.7794 Å, b = 4.7794 Å, c = 6.8038 Å
α = 69.44°, β = 69.44°, γ = 60.00°
Last column: nearest neighbours and their distance in Å.
Element x y z (fractional)
Ac: 0.0000 0.0000 0.0000  12 H 2.64-2.65
Th: 0.5000 0.5000 0.5000  6 H 2.43
H: 0.0509 0.5655 0.8179  1 Ru 1.72
H: 0.5657 0.0509 0.8179  1 Ru 1.72
H: 0.4345 0.4343 0.1821  1 Ru 1.72
H: 0.9491 0.4345 0.1821  1 Ru 1.72
H: 0.4343 0.9491 0.1821  1 Ru 1.72
H: 0.5655 0.5657 0.8179  1 Ru 1.72
Ru: 0.7850 0.7850 0.6451  3 H 1.72
Ru: 0.2150 0.2150 0.3549  3 H 1.72

(10)
A plane-wave DFT calculation with GGA-PBE was carried out for AcTlH6Ru after structural relaxation.

Computed properties:
crystal system	trigonal
Fermi-level density of states	0.00	states/eV/cell

a = 5.0358 Å, b = 5.0359 Å, c = 4.6957 Å
α = 89.99°, β = 89.99°, γ = 60.00°
Last column: nearest neighbours and their distance in Å.
Element x y z (fractional)
Ac: 0.9999 0.0000 0.8612  12 H 2.57-2.77
Tl: 0.6666 0.6667 0.2718  9 H 2.55-2.76
H: 0.1603 0.1603 0.3526  1 Ru 1.74
H: 0.4881 0.0234 0.7565  1 Ru 1.70
H: 0.4880 0.4881 0.7573  1 Ru 1.70
H: 0.0232 0.4883 0.7564  1 Ru 1.70
H: 0.1602 0.6800 0.3533  1 Ru 1.74
H: 0.6801 0.1601 0.3534  1 Ru 1.74
Ru: 0.3334 0.3334 0.5374  6 H 1.70-1.74

Final energy: -0.172 -0.165 -0.173 -0.191 -0.187 -0.175 -0.164 -0.182 -0.199 -0.157 (Ha/atom)